# Sm6WO12 | Alexandria via LeMat-Bulk | GGA+U | relaxed
# E_tot ... -0.605 Ry per atom
data_Sm6WO12
_symmetry_space_group_name_H-M 'R -3'
_symmetry_Int_Tables_number 148
_symmetry_space_group_name_Hall '-R 3'
_cell_length_a 10.0773
_cell_length_b 10.0773
_cell_length_c 9.6469
_cell_angle_alpha 90.00
_cell_angle_beta 90.00
_cell_angle_gamma 120.00
loop_
_atom_site_label
_atom_site_type_symbol
_atom_site_fract_x
_atom_site_fract_y
_atom_site_fract_z
Sm1 Sm 0.0437 0.7883 0.1440
W1 W 0.0000 0.0000 0.5000
O1 O 0.0347 0.8102 0.9019
O2 O 0.0376 0.8568 0.3896